Entry 1:
Material: CaAgF5
Method: DFT, PBE
State: relaxed Values from VASP.

Uncorrected formation energy   -15.63 eV per formula unit
Polymorph energy (0 for the lowest one)   0 meV/atom
E_tot   -4.2631 eV/atom

Structure (Quantum ESPRESSO input):
```
&SYSTEM
  ibrav = 0, nat = 14, ntyp = 3
/
ATOMIC_SPECIES
Ca 40.08 Ca.upf
Ag 107.87 Ag.upf
F 19.00 F.upf
CELL_PARAMETERS angstrom
-4.9606 3.6351 -0.3678
-1.4675 -3.9086 0.7282
3.5709 5.3660 7.6237
ATOMIC_POSITIONS crystal
Ca 0.4901 0.2533 0.2487
Ca 0.5099 0.7467 0.7513
Ag 0.0000 0.0000 0.0000
Ag 0.0000 0.5000 0.5000
F 0.9341 0.9771 0.8022
F 0.0659 0.0229 0.1978
F 0.1091 0.3515 0.6399
F 0.5664 0.3263 0.8011
F 0.2821 0.8666 0.9581
F 0.3306 0.6417 0.4867
F 0.7179 0.1334 0.0419
F 0.6694 0.3583 0.5133
F 0.4336 0.6737 0.1989
F 0.8909 0.6485 0.3601
```


Entry 2:
Material: Rb2BrF
Method: DFT, PBE
State: relaxed Values from VASP.

Uncorrected formation energy   -8.62 eV per formula unit
Polymorph energy (0 for the lowest one)   25 meV/atom
E_tot   -3.5245 eV/atom

Structure (Quantum ESPRESSO input):
```
&SYSTEM
  ibrav = 0, nat = 4, ntyp = 3
/
ATOMIC_SPECIES
Rb 85.47 Rb.upf
Br 79.90 Br.upf
F 19.00 F.upf
CELL_PARAMETERS angstrom
-1.5242 2.8036 3.0983
-0.0858 -4.3862 0.7329
7.9116 -0.0336 0.7301
ATOMIC_POSITIONS crystal
Rb 0.5306 0.2654 0.7960
Rb 0.4694 0.7346 0.2040
Br 0.0000 0.5000 0.5000
F 0.0000 0.0000 0.0000
```


Entry 3:
Material: Pr12Y3Tm
Method: DFT, PBE
State: relaxed Values from VASP.

ΔH_f (0 K)   10 meV/atom
E_tot   -5.0663 eV/atom

Structure (Quantum ESPRESSO input):
```
&SYSTEM
  ibrav = 0, nat = 16, ntyp = 3
/
ATOMIC_SPECIES
Pr 140.91 Pr.upf
Y 88.91 Y.upf
Tm 168.93 Tm.upf
CELL_PARAMETERS angstrom
5.1967 0.0000 0.0000
0.0000 5.1967 0.0000
0.0000 0.0000 20.7360
ATOMIC_POSITIONS crystal
Pr 0.5000 0.5000 0.0000
Pr 0.5000 0.5000 0.2489
Pr 0.5000 0.5000 0.5000
Pr 0.5000 0.5000 0.7511
Pr 0.5000 0.0000 0.1237
Pr 0.5000 0.0000 0.3745
Pr 0.5000 0.0000 0.6255
Pr 0.5000 0.0000 0.8763
Pr 0.0000 0.5000 0.1237
Pr 0.0000 0.5000 0.3745
Pr 0.0000 0.5000 0.6255
Pr 0.0000 0.5000 0.8763
Y 0.0000 0.0000 0.2492
Y 0.0000 0.0000 0.5000
Y 0.0000 0.0000 0.7508
Tm 0.0000 0.0000 0.0000
```


Entry 4:
Material: Tb7Pr4Sc
Method: DFT, PBE
State: relaxed Values from VASP.

ΔH_f (0 K)   184 meV/atom
E_tot   -4.6374 eV/atom

Structure (Quantum ESPRESSO input):
```
&SYSTEM
  ibrav = 0, nat = 12, ntyp = 3
/
ATOMIC_SPECIES
Tb 158.93 Tb.upf
Pr 140.91 Pr.upf
Sc 44.96 Sc.upf
CELL_PARAMETERS angstrom
5.3739 0.0000 0.0000
2.6870 12.9987 -1.6906
2.6870 -0.3162 5.7431
ATOMIC_POSITIONS crystal
Tb 0.8329 0.8994 0.4348
Tb 0.1671 0.1006 0.5652
Tb 0.9598 0.6286 0.4518
Tb 0.0402 0.3714 0.5482
Tb 0.3281 0.5342 0.8095
Tb 0.5000 0.0000 0.0000
Tb 0.6719 0.4658 0.1905
Pr 0.7469 0.2172 0.2890
Pr 0.2531 0.7828 0.7110
Pr 0.5828 0.7374 0.0970
Pr 0.4172 0.2626 0.9030
Sc 0.0000 0.0000 0.0000
```


Entry 5:
Material: Mn2AlP
Method: DFT, PBE
State: relaxed Values from VASP.

Polymorph energy (0 for the lowest one)   149 meV/atom
ΔH_f (0 K)   -158 meV/atom
E_tot   -7.0311 eV/atom

Structure (Quantum ESPRESSO input):
```
&SYSTEM
  ibrav = 0, nat = 4, ntyp = 3
/
ATOMIC_SPECIES
P 30.97 P.upf
Mn 54.94 Mn.upf
Al 26.98 Al.upf
CELL_PARAMETERS angstrom
-3.5517 -6.6426 -1.5218
-2.8100 -7.0686 1.0921
-5.1273 -5.6998 0.5258
ATOMIC_POSITIONS crystal
P 0.2500 0.2500 0.2500
Mn 0.9917 0.9917 0.9917
Mn 0.5083 0.5083 0.5083
Al 0.7500 0.7500 0.7500
```


Entry 6:
Material: Pm3Er7Mg
Method: DFT, PBE
State: relaxed Values from VASP.

ΔH_f (0 K)   186 meV/atom
E_tot   -4.1578 eV/atom

Structure (Quantum ESPRESSO input):
```
&SYSTEM
  ibrav = 0, nat = 11, ntyp = 3
/
ATOMIC_SPECIES
Pm 145.00 Pm.upf
Er 167.26 Er.upf
Mg 24.30 Mg.upf
CELL_PARAMETERS angstrom
-2.0590 7.5628 3.4598
-6.5083 -0.6767 -2.3940
1.6606 -2.4359 6.3131
ATOMIC_POSITIONS crystal
Pm 0.7854 0.5015 0.4985
Pm 0.7854 0.5015 0.0030
Pm 0.7854 0.9970 0.4985
Er 0.1223 0.1669 0.8331
Er 0.1223 0.1669 0.3338
Er 0.1184 0.6667 0.3333
Er 0.4440 0.8308 0.1692
Er 0.4440 0.3384 0.1692
Er 0.4440 0.8308 0.6616
Er 0.1223 0.6662 0.8331
Mg 0.4415 0.3333 0.6667
```


Entry 7:
Material: SrTa2Ag
Method: DFT, PBE
State: relaxed Values from VASP.

Polymorph energy (0 for the lowest one)   313 meV/atom
ΔH_f (0 K)   735 meV/atom
E_tot   -6.3244 eV/atom

Structure (Quantum ESPRESSO input):
```
&SYSTEM
  ibrav = 0, nat = 4, ntyp = 3
/
ATOMIC_SPECIES
Ag 107.87 Ag.upf
Sr 87.62 Sr.upf
Ta 180.95 Ta.upf
CELL_PARAMETERS angstrom
3.0661 0.0000 0.0000
0.0000 5.0278 0.0000
0.0000 0.0000 5.7216
ATOMIC_POSITIONS crystal
Ag 0.5000 0.0000 0.5000
Sr 0.0000 0.5000 0.5000
Ta 0.0000 0.0000 0.0000
Ta 0.5000 0.5000 0.0000
```


Entry 8:
Material: Zn3SeF
Method: DFT, PBE
State: relaxed Values from VASP.

Uncorrected formation energy   -3.68 eV per formula unit
Polymorph energy (0 for the lowest one)   73 meV/atom
E_tot   -2.5711 eV/atom

Structure (Quantum ESPRESSO input):
```
&SYSTEM
  ibrav = 0, nat = 5, ntyp = 3
/
ATOMIC_SPECIES
Zn 65.41 Zn.upf
Se 78.96 Se.upf
F 19.00 F.upf
CELL_PARAMETERS angstrom
3.8431 -0.0024 0.0247
-0.0223 5.2460 -0.0025
-1.8603 -2.1535 4.6960
ATOMIC_POSITIONS crystal
Zn 0.9425 0.3227 0.0142
Zn 0.5141 0.0820 0.1794
Zn 0.7657 0.8227 0.6985
Se 0.1082 0.8066 0.3626
F 0.7545 0.4241 0.6578
```